# 1
Computed, not measured: a geometry-optimized Cs2NpZn2O6 structure at the PBE-GGA level of DFT.

Computed properties:
- Total magnetization: 0.091 μB/atom
- Raw formation energy: -1975 meV per atom
- DFT total energy: -6.243 eV/atom
- Density: 5.8 g/cm³

CIF file:
```
data_Cs2NpZn2O6
_space_group_name_H-M_alt 'R -3 m'
_space_group_IT_number 166
_space_group_name_Hall '-R 3 2"'
_cell_length_a 6.1648
_cell_length_b 6.1648
_cell_length_c 19.1637
_cell_angle_alpha 90.00
_cell_angle_beta 90.00
_cell_angle_gamma 120.00
loop_
_atom_site_label
_atom_site_type_symbol
_atom_site_fract_x
_atom_site_fract_y
_atom_site_fract_z
Cs1 Cs 0.0000 0.0000 0.2111
Np1 Np 0.0000 0.0000 0.0000
Zn1 Zn 0.0000 0.0000 0.3958
O1 O 0.0202 0.5101 0.7320
```

***

# 2
Computed, not measured: a geometry-optimized BeZnRe2 structure at the PBE-GGA level of DFT.

Computed properties:
- Total magnetization: 0.000 μB/atom
- E_form: 0.232 eV per atom
- DFT total energy: -7.242 eV/atom
- Density: 14.3 g/cm³

CIF file:
```
data_BeZnRe2
_space_group_name_H-M_alt 'P 4/m m m'
_space_group_IT_number 123
_space_group_name_Hall '-P 4 2'
_cell_length_a 2.8081
_cell_length_b 2.8081
_cell_length_c 6.6009
_cell_angle_alpha 90.00
_cell_angle_beta 90.00
_cell_angle_gamma 90.00
loop_
_atom_site_label
_atom_site_type_symbol
_atom_site_fract_x
_atom_site_fract_y
_atom_site_fract_z
Be1 Be 0.0000 0.0000 0.0000
Zn1 Zn 0.0000 0.0000 0.5000
Re1 Re 0.5000 0.5000 0.2030
```